1.
CaScPd2: relaxed, PBE.

Results
- distance to the lowest polymorph of the same formula (kcal/mol of atoms) = 2.00

Cell: 4.8155 4.8155 4.8155 Å, 60.00 60.00 60.00°
Fractional coordinates of all 4 atoms:
Ca1 0.0000 0.0000 0.0000
Sc1 0.5000 0.5000 0.5000
Pd1 0.2500 0.2500 0.2500
Pd2 0.7500 0.7500 0.7500


2.
CaScPd2: relaxed, PBE.

Results
- distance to the lowest polymorph of the same formula (kcal/mol of atoms) = 1.92

Cell: 4.8339 4.8339 3.3748 Å, 90.00 90.00 90.00°
Fractional coordinates of all 4 atoms:
Ca1 0.0000 0.0000 0.0000
Sc1 0.5000 0.5000 0.0000
Pd1 0.0000 0.5000 0.5000
Pd2 0.5000 0.0000 0.5000


3.
CaScPd2: relaxed, PBE.

Results
- distance to the lowest polymorph of the same formula (kcal/mol of atoms) = 8.34

Cell: 6.0956 6.0956 6.0956 Å, 104.99 104.99 118.87°
Fractional coordinates of all 8 atoms:
Ca1 0.0000 0.0000 0.0000
Ca2 0.7500 0.2500 0.5000
Sc1 0.2500 0.7500 0.5000
Sc2 0.5000 0.5000 0.0000
Pd1 0.1506 0.6250 0.0256
Pd2 0.3750 0.4006 0.5256
Pd3 0.5994 0.1250 0.9744
Pd4 0.8750 0.8494 0.4744


4.
CaScPd4: relaxed, PBE.

Results
- distance to the lowest polymorph of the same formula (kcal/mol of atoms) = 0.00

Cell: 5.3823 5.3823 5.3823 Å, 60.00 60.00 60.00°
Fractional coordinates of all 6 atoms:
Ca1 0.0000 0.0000 0.0000
Sc1 0.7500 0.7500 0.7500
Pd1 0.3752 0.3752 0.3752
Pd2 0.3752 0.3752 0.8744
Pd3 0.3752 0.8744 0.3752
Pd4 0.8744 0.3752 0.3752


5.
CaSc2Pd2: relaxed, PBE.

Results
- distance to the lowest polymorph of the same formula (kcal/mol of atoms) = 7.01

Cell: 7.2687 7.2687 7.2687 Å, 146.19 146.19 48.56°
Fractional coordinates of all 5 atoms:
Ca1 0.0000 0.0000 0.0000
Sc1 0.3718 0.3718 0.0000
Sc2 0.6282 0.6282 0.0000
Pd1 0.2500 0.7500 0.5000
Pd2 0.7500 0.2500 0.5000


6.
Ca2ScTePd: relaxed, PBE.

Results
- formation energy (no corrections) (eV per atom) = -0.128

Cell: 5.4716 5.4716 5.2340 Å, 90.00 90.00 90.00°
Fractional coordinates of all 5 atoms:
Ca1 0.0000 0.5000 0.0000
Ca2 0.5000 0.0000 0.0000
Sc1 0.0000 0.0000 0.5000
Te1 0.5000 0.5000 0.5000
Pd1 0.5000 0.5000 0.0000


7.
CaScTlPd: relaxed, PBE.

Results
- electronic total energy (eV per cell) = -17.736

Cell: 5.0470 5.0470 5.0470 Å, 60.00 60.00 60.00°
Fractional coordinates of all 4 atoms:
Ca1 0.0000 0.0000 0.0000
Sc1 0.5000 0.5000 0.5000
Tl1 0.2500 0.2500 0.2500
Pd1 0.7500 0.7500 0.7500


8.
CaSc2ZnPd4: relaxed, PBE.

Results
- electronic total energy (eV per cell) = -42.574

Cell: 8.4288 8.4288 8.4288 Å, 31.74 31.74 31.74°
Fractional coordinates of all 8 atoms:
Ca1 0.0000 0.0000 0.0000
Sc1 0.2398 0.2398 0.2398
Sc2 0.7602 0.7602 0.7602
Zn1 0.5000 0.5000 0.5000
Pd1 0.1266 0.1266 0.1266
Pd2 0.3902 0.3902 0.3902
Pd3 0.6098 0.6098 0.6098
Pd4 0.8734 0.8734 0.8734


9.
CaScZnPd: relaxed, PBE.

Results
- electronic total energy (eV per cell) = -16.641

Cell: 4.8743 4.8743 4.8743 Å, 60.00 60.00 60.00°
Fractional coordinates of all 4 atoms:
Ca1 0.0000 0.0000 0.0000
Sc1 0.5000 0.5000 0.5000
Zn1 0.2500 0.2500 0.2500
Pd1 0.7500 0.7500 0.7500


10.
CaScZn2Pd: relaxed, PBE.

Results
- electronic total energy (eV per cell) = -15.785

Cell: 4.8927 4.8927 5.0703 Å, 90.00 90.00 90.00°
Fractional coordinates of all 5 atoms:
Ca1 0.0000 0.0000 0.0000
Sc1 0.5000 0.5000 0.0000
Zn1 0.0000 0.5000 0.5000
Zn2 0.5000 0.0000 0.5000
Pd1 0.0000 0.0000 0.5000


11.
CaPdSe2: relaxed, PBE.

Results
- formation energy (no corrections) (eV per atom) = -0.810
- distance to the lowest polymorph of the same formula (kcal/mol of atoms) = 0.44

Cell: 8.2511 8.2511 8.2511 Å, 140.86 140.86 56.55°
Fractional coordinates of all 8 atoms:
Ca1 0.0000 0.0000 0.0000
Ca2 0.7500 0.2500 0.5000
Pd1 0.2500 0.7500 0.5000
Pd2 0.5000 0.5000 0.0000
Se1 0.1908 0.6250 0.0658
Se2 0.3750 0.4408 0.5658
Se3 0.5592 0.1250 0.9342
Se4 0.8750 0.8092 0.4342


12.
CaPdSe2: relaxed, PBE.

Results
- formation energy (no corrections) (eV per atom) = -0.524
- distance to the lowest polymorph of the same formula (kcal/mol of atoms) = 7.04

Cell: 8.5011 8.5011 8.5011 Å, 27.91 27.91 27.91°
Fractional coordinates of all 4 atoms:
Ca1 0.0000 0.0000 0.0000
Pd1 0.5000 0.5000 0.5000
Se1 0.4035 0.4035 0.4035
Se2 0.5965 0.5965 0.5965


13.
Ca4Pd2Se: relaxed, PBE.

Results
- formation energy (no corrections) (eV per atom) = -0.702

Cell: 8.0505 8.0505 8.0505 Å, 139.61 139.61 58.45°
Fractional coordinates of all 7 atoms:
Ca1 0.0000 0.5000 0.5000
Ca2 0.2070 0.2070 0.0000
Ca3 0.5000 0.0000 0.5000
Ca4 0.7930 0.7930 0.0000
Pd1 0.4036 0.4036 0.0000
Pd2 0.5964 0.5964 0.0000
Se1 0.0000 0.0000 0.0000


14.
CaPdSe2: relaxed, PBE.

Results
- formation energy (no corrections) (eV per atom) = -0.684
- distance to the lowest polymorph of the same formula (kcal/mol of atoms) = 3.34

Cell: 4.8808 4.8808 4.8808 Å, 60.00 60.00 60.00°
Fractional coordinates of all 4 atoms:
Ca1 0.0000 0.0000 0.0000
Pd1 0.5000 0.5000 0.5000
Se1 0.2500 0.2500 0.2500
Se2 0.7500 0.7500 0.7500


15.
CaPdSe2: relaxed, PBE.

Results
- formation energy (no corrections) (eV per atom) = -0.829
- distance to the lowest polymorph of the same formula (kcal/mol of atoms) = 0.00

Cell: 4.8078 4.8078 3.4726 Å, 90.00 90.00 90.00°
Fractional coordinates of all 4 atoms:
Ca1 0.0000 0.0000 0.0000
Pd1 0.5000 0.5000 0.0000
Se1 0.0000 0.5000 0.5000
Se2 0.5000 0.0000 0.5000


16.
CaPd3Se: relaxed, PBE.

Results
- formation energy (no corrections) (eV per atom) = 0.732
- distance to the lowest polymorph of the same formula (kcal/mol of atoms) = 27.68

Cell: 4.9059 4.9059 4.9059 Å, 90.00 90.00 90.00°
Fractional coordinates of all 5 atoms:
Ca1 0.0000 0.0000 0.0000
Pd1 0.0000 0.0000 0.5000
Pd2 0.0000 0.5000 0.0000
Pd3 0.5000 0.0000 0.0000
Se1 0.5000 0.5000 0.5000


17.
CaPd3Se: relaxed, PBE.

Results
- formation energy (no corrections) (eV per atom) = -0.468
- distance to the lowest polymorph of the same formula (kcal/mol of atoms) = 0.00

Cell: 4.7650 4.7650 4.7650 Å, 90.00 90.00 90.00°
Fractional coordinates of all 5 atoms:
Ca1 0.0000 0.0000 0.0000
Pd1 0.0000 0.5000 0.5000
Pd2 0.5000 0.0000 0.5000
Pd3 0.5000 0.5000 0.0000
Se1 0.5000 0.5000 0.5000


18.
CaPd2Se2: relaxed, PBE.

Results
- formation energy (no corrections) (eV per atom) = -0.698
- distance to the lowest polymorph of the same formula (kcal/mol of atoms) = 0.57

Cell: 6.7370 6.7370 6.7370 Å, 144.49 144.49 51.09°
Fractional coordinates of all 5 atoms:
Ca1 0.0000 0.0000 0.0000
Pd1 0.2500 0.7500 0.5000
Pd2 0.7500 0.2500 0.5000
Se1 0.3817 0.3817 0.0000
Se2 0.6183 0.6183 0.0000


19.
CaPd2Se2: relaxed, PBE.

Results
- formation energy (no corrections) (eV per atom) = -0.722
- distance to the lowest polymorph of the same formula (kcal/mol of atoms) = 0.00

Cell: 5.5798 5.5798 5.5798 Å, 126.98 126.98 78.28°
Fractional coordinates of all 5 atoms:
Ca1 0.0000 0.0000 0.0000
Pd1 0.3346 0.3346 0.0000
Pd2 0.6654 0.6654 0.0000
Se1 0.2500 0.7500 0.5000
Se2 0.7500 0.2500 0.5000


20.
CaPd2Se2: relaxed, PBE.

Results
- formation energy (no corrections) (eV per atom) = -0.593
- distance to the lowest polymorph of the same formula (kcal/mol of atoms) = 2.99

Cell: 7.5068 7.5068 3.5189 Å, 90.00 90.00 90.00°
Fractional coordinates of all 10 atoms:
Ca1 0.0000 0.0000 0.0000
Ca2 0.5000 0.5000 0.0000
Pd1 0.1523 0.3477 0.5000
Pd2 0.3477 0.8477 0.5000
Pd3 0.6523 0.1523 0.5000
Pd4 0.8477 0.6523 0.5000
Se1 0.1607 0.6607 0.0000
Se2 0.3393 0.1607 0.0000
Se3 0.6607 0.8393 0.0000
Se4 0.8393 0.3393 0.0000


21.
CaSmPdSe: relaxed, PBE.

Results
- formation energy (no corrections) (eV per atom) = -0.981

Cell: 5.0971 5.0971 5.0971 Å, 60.00 60.00 60.00°
Fractional coordinates of all 4 atoms:
Ca1 0.0000 0.0000 0.0000
Sm1 0.5000 0.5000 0.5000
Pd1 0.2500 0.2500 0.2500
Se1 0.7500 0.7500 0.7500


22.
SrCaPdSe: relaxed, PBE.

Results
- formation energy (no corrections) (eV per atom) = -1.055

Cell: 5.2214 5.2214 5.2214 Å, 60.00 60.00 60.00°
Fractional coordinates of all 4 atoms:
Sr1 0.0000 0.0000 0.0000
Ca1 0.5000 0.5000 0.5000
Pd1 0.2500 0.2500 0.2500
Se1 0.7500 0.7500 0.7500


23.
Ca3U3PdSe8: relaxed, PBE.

Results
- formation energy (no corrections) (eV per atom) = -1.280

Cell: 8.4079 8.4079 8.4079 Å, 56.88 56.88 56.88°
Fractional coordinates of all 15 atoms:
Ca1 0.0000 0.5000 0.5000
Ca2 0.5000 0.0000 0.5000
Ca3 0.5000 0.5000 0.0000
U1 0.0000 0.0000 0.5000
U2 0.0000 0.5000 0.0000
U3 0.5000 0.0000 0.0000
Pd1 0.5000 0.5000 0.5000
Se1 0.2461 0.7469 0.7469
Se2 0.2508 0.2508 0.2508
Se3 0.2531 0.2531 0.7539
Se4 0.2531 0.7539 0.2531
Se5 0.7469 0.2461 0.7469
Se6 0.7469 0.7469 0.2461
Se7 0.7492 0.7492 0.7492
Se8 0.7539 0.2531 0.2531


24.
CaUPdSe3: relaxed, PBE.

Results
- formation energy (no corrections) (eV per atom) = -1.220

Cell: 7.7552 4.0173 9.7186 Å, 90.00 106.33 90.00°
Fractional coordinates of all 12 atoms:
Ca1 0.2383 0.2500 0.2985
Ca2 0.7617 0.7500 0.7015
U1 0.3130 0.7500 0.8277
U2 0.6870 0.2500 0.1723
Pd1 0.1199 0.2500 0.5797
Pd2 0.8801 0.7500 0.4203
Se1 0.0549 0.2500 0.8314
Se2 0.3063 0.7500 0.5393
Se3 0.4085 0.7500 0.1380
Se4 0.5915 0.2500 0.8620
Se5 0.6937 0.2500 0.4607
Se6 0.9451 0.7500 0.1686


25.
Ca2SiPd6: relaxed, PBE.

Results
- formation energy (no corrections) (eV per atom) = -0.753

Cell: 5.9745 5.9745 6.2100 Å, 118.23 118.23 60.31°
Fractional coordinates of all 9 atoms:
Ca1 0.2448 0.2448 0.2305
Ca2 0.7552 0.7552 0.7695
Si1 0.5000 0.5000 0.0000
Pd1 0.2292 0.7581 0.7201
Pd2 0.2315 0.2315 0.7193
Pd3 0.2419 0.7708 0.2799
Pd4 0.7581 0.2292 0.7201
Pd5 0.7685 0.7685 0.2807
Pd6 0.7708 0.2419 0.2799


26.
CaSi2Pd6: relaxed, PBE.

Results
- formation energy (no corrections) (eV per atom) = -0.573
- distance to the lowest polymorph of the same formula (kcal/mol of atoms) = 0.00

Cell: 6.5726 6.5726 6.5726 Å, 141.97 113.46 79.29°
Fractional coordinates of all 9 atoms:
Ca1 0.0000 0.0000 0.0000
Si1 0.3060 0.3060 0.0000
Si2 0.6940 0.6940 0.0000
Pd1 0.1262 0.8167 0.3095
Pd2 0.3035 0.5000 0.8035
Pd3 0.4927 0.1833 0.3095
Pd4 0.5073 0.8167 0.6905
Pd5 0.6965 0.5000 0.1965
Pd6 0.8738 0.1833 0.6905


| no. | volume (Å³ per atom) |
| --- | --- |
| 1 | 19.7 |
| 2 | 19.7 |
| 3 | 21.3 |
| 4 | 18.4 |
| 5 | 23.7 |
| 6 | 31.3 |
| 7 | 22.7 |
| 8 | 18.4 |
| 9 | 20.5 |
| 10 | 24.3 |
| 11 | 27.8 |
| 12 | 29.7 |
| 13 | 31.0 |
| 14 | 20.6 |
| 15 | 20.1 |
| 16 | 23.6 |
| 17 | 21.6 |
| 18 | 20.5 |
| 19 | 21.5 |
| 20 | 19.8 |
| 21 | 23.4 |
| 22 | 25.2 |
| 23 | 26.0 |
| 24 | 24.2 |
| 25 | 17.9 |
| 26 | 17.4 |